Li2Ga2Au5 | PBE-GGA | relaxed

Crystal system ... orthorhombic
Total moment ... 0.00 μB/f.u.
Density of states at the Fermi level ... 0.22 states/eV/atom
Formation energy from the elements ... -287 meV per atom

a b c (Å): 14.4698 7.8896 5.5558
angles (deg): 90.00 90.00 90.00
With the nearest neighbours (Å) after each atom.
Space group Cmce (No. 64)
Asymmetric unit:
Li (0.2443, 0.0000, 0.0000) (multiplicity 8)  8 Au 2.73-2.88, 2 Li 2.78
Ga (0.0000, 0.1581, 0.4707) (multiplicity 8)  1 Ga 2.52, 5 Au 2.67-2.75
Au (0.0000, 0.0000, 0.0000) (multiplicity 4)  4 Ga 2.70-2.90
Au (0.1524, 0.2485, 0.7362) (multiplicity 16)  2 Ga 2.67-2.75, 4 Li 2.73-2.88, 3 Au 2.78-2.83


Ba2Mg3CdPb4 | PBE-GGA | relaxed

Crystal system ... tetragonal
Total moment ... 0.00 μB/f.u.
Density of states at the Fermi level ... 0.09 states/eV/atom
Formation energy from the elements ... -360 meV per atom

a b c (Å): 5.0064 5.0064 12.5000
angles (deg): 90.00 90.00 90.00
With the nearest neighbours (Å) after each atom.
Space group P-4m2 (No. 115)
Asymmetric unit:
Ba (0.0000, 0.5000, 0.2473) (multiplicity 2)  8 Pb 3.80-4.03, 6 Mg 3.84-3.98, 2 Cd 3.98
Mg (0.0000, 0.0000, 0.0000) (multiplicity 1)  4 Pb 3.03
Mg (0.0000, 0.5000, 0.6338) (multiplicity 2)  5 Pb 2.87-3.01
Cd (0.5000, 0.5000, 0.0000) (multiplicity 1)  4 Pb 3.03
Pb (0.0000, 0.0000, 0.5000) (multiplicity 1)  4 Mg 3.01
Pb (0.0000, 0.5000, 0.8636) (multiplicity 2)  3 Mg 2.87-3.03, 2 Cd 3.03
Pb (0.5000, 0.5000, 0.5000) (multiplicity 1)  4 Mg 3.01


CsHo5Se8 | PBE-GGA | relaxed

Crystal system ... monoclinic
Formation energy from raw total energies ... -1.85 eV per atom
Total moment ... 0.00 μB/f.u.
Density of states at the Fermi level ... 0.00 states/eV/atom

a b c (Å): 21.1724 4.1340 10.1750
angles (deg): 90.00 104.28 90.00
With the nearest neighbours (Å) after each atom.
Space group Cm (No. 8)
Asymmetric unit:
Cs (0.0000, 0.0000, 0.0000) (multiplicity 2)  10 Se 3.84-4.28, 2 Cs 4.13
Ho (0.0002, 0.5000, 0.4996) (multiplicity 2)  6 Se 2.85-2.87
Ho (0.1564, 0.0000, 0.4573) (multiplicity 2)  6 Se 2.78-3.01
Ho (0.2040, 0.0000, 0.8413) (multiplicity 2)  6 Se 2.79-3.00
Ho (0.2963, 0.5000, 0.1581) (multiplicity 2)  6 Se 2.79-3.00
Ho (0.3440, 0.5000, 0.5421) (multiplicity 2)  6 Se 2.78-3.01
Se (0.0781, 0.0000, 0.6503) (multiplicity 2)  4 Ho 2.85-2.88
Se (0.0826, 0.5000, 0.3135) (multiplicity 2)  3 Ho 2.78-2.87
Se (0.1686, 0.5000, 0.9926) (multiplicity 2)  3 Ho 2.79-2.81
Se (0.2312, 0.5000, 0.6488) (multiplicity 2)  5 Ho 2.86-3.01
Se (0.2692, 0.0000, 0.3507) (multiplicity 2)  5 Ho 2.86-3.01
Se (0.3317, 0.0000, 0.0068) (multiplicity 2)  3 Ho 2.79-2.81
Se (0.4178, 0.0000, 0.6859) (multiplicity 2)  3 Ho 2.78-2.87
Se (0.4222, 0.5000, 0.3490) (multiplicity 2)  4 Ho 2.85-2.89